(1)
A crystal of CdSeCl relaxed with PBEsol, computed with meta-GGA SCAN.

Unit cell a=4.647 b=4.647 c=4.647 alpha=60.00 beta=60.00 gamma=60.00
Atoms (fractional coordinates):
1 Cd 0.250 0.250 0.250
2 Se 0.500 0.500 0.500
3 Cl 0.000 0.000 0.000

Computed properties:
Raw formation energy: -0.7 eV per formula unit
Space-group type: F-43m, No. 216
Theoretical density: 5.31 g/cm³
Calculated total energy: -19.73 eV per atom
Excess energy over the best structure of this formula in the dataset: 0 meV/atom

=====

(2)
A crystal of CrIrOs2 relaxed with PBEsol, computed with meta-GGA SCAN.

Unit cell a=2.678 b=3.757 c=5.340 alpha=90.00 beta=90.00 gamma=90.00
Atoms (fractional coordinates):
1 Os 0.500 0.500 0.253
2 Os 0.000 0.000 0.009
3 Cr 0.000 0.000 0.497
4 Ir 0.500 0.500 0.741

Computed properties:
Space-group type: Pmm2, No. 25
Theoretical density: 19.31 g/cm³
Calculated total energy: -58.35 eV per atom
Formation enthalpy at 0 K: -0.04 eV/atom
Excess energy over the best structure of this formula in the dataset: 0 meV/atom